Cs2AlAsF6 (PBE, relaxed); crystal system = tetragonal; DFT total energy = -4.784 eV per atom; magnetic moment = 0.00 μB/cell; energy relative to the elements, uncorrected = -2651.5 meV/atom
1.0
5.747 0.000 0.000
0.000 5.747 0.000
2.874 2.874 5.708
As Al F Cs
1 1 6 2
Cartesian
0.000 0.000 0.000 As
2.874 2.874 0.000 Al
5.747 5.747 3.917 F
2.874 2.874 1.791 F
4.195 1.552 0.000 F
4.195 4.195 0.000 F
1.552 4.195 0.000 F
1.552 1.552 0.000 F
5.747 2.874 2.854 Cs
2.874 5.747 2.854 Cs